Material: TaTc2C
Method: DFT, PBE
State: relaxed

SG: I-42d

Cell: 5.438 5.438 5.438 Å, 100.26 100.26 130.06°
Positions (direct):
Ta  0.000  0.000  0.000
Ta  0.750  0.250  0.500
Tc  0.238  0.625  0.113
Tc  0.375  0.488  0.613
Tc  0.512  0.125  0.887
Tc  0.875  0.762  0.387
C  0.250  0.750  0.500
C  0.500  0.500  0.000

***

Material: Np2ZnPd3
Method: DFT, PBE
State: relaxed

SG: P6_3/mmc

Cell: 5.597 5.597 8.175 Å, 90.00 90.00 120.00°
Positions (direct):
Np  0.333  0.667  0.077
Np  0.333  0.667  0.423
Np  0.667  0.333  0.577
Np  0.667  0.333  0.923
Zn  0.000  0.000  0.000
Zn  0.000  0.000  0.500
Pd  0.170  0.340  0.750
Pd  0.170  0.830  0.750
Pd  0.340  0.170  0.250
Pd  0.660  0.830  0.750
Pd  0.830  0.170  0.250
Pd  0.830  0.660  0.250

***

| no. | DFT formation energy (meV/atom) |
| --- | --- |
| 1 | 98.3 |
| 2 | -335.7 |